No. 1
LiTb4Al: optimized geometry, PBE-GGA.

Cell lengths 4.9497, 4.9497, 7.5586 Å; angles 90.00, 90.00, 90.00 degrees
Space group P4/mmm (No. 123)
Asymmetric unit:
Li (0.0000, 0.0000, 0.0000) x1
Tb (0.0000, 0.5000, 0.2614) x4
Al (0.5000, 0.5000, 0.5000) x1

Results
Its formation energy is 232 meV/atom.



No. 2
LiTb2Al: optimized geometry, PBE-GGA.

Cell lengths 5.1220, 5.1220, 3.7314 Å; angles 90.00, 90.00, 90.00 degrees
Space group P4/mmm (No. 123)
Asymmetric unit:
Li (0.0000, 0.0000, 0.0000) x1
Tb (0.0000, 0.5000, 0.5000) x2
Al (0.5000, 0.5000, 0.0000) x1

Results
Its formation energy is -185 meV/atom.



No. 3
LiTb8Al2: optimized geometry, PBE-GGA.

Cell lengths 17.9234, 5.1351, 6.8676 Å; angles 90.00, 102.80, 90.00 degrees
Space group C2/m (No. 12)
Asymmetric unit:
Li (0.0000, 0.0000, 0.0000) x2
Tb (0.0235, 0.5000, 0.7604) x4
Tb (0.0959, 0.0000, 0.4675) x4
Tb (0.1597, 0.0000, 0.9564) x4
Tb (0.1965, 0.5000, 0.2863) x4
Al (0.1933, 0.5000, 0.7303) x4

Results
Its formation energy is -88 meV/atom.



No. 4
LiTb6Al5: optimized geometry, PBE-GGA.

Cell lengths 5.1506, 15.4680, 7.2022 Å; angles 90.00, 90.00, 90.00 degrees
Space group Cmmm (No. 65)
Asymmetric unit:
Li (0.0000, 0.0000, 0.0000) x2
Tb (0.0000, 0.1678, 0.2488) x8
Tb (0.0000, 0.5000, 0.2517) x4
Al (0.0000, 0.0000, 0.5000) x2
Al (0.0000, 0.3337, 0.5000) x4
Al (0.0000, 0.3394, 0.0000) x4

Results
Its formation energy is -353 meV/atom.



No. 5
LiTb7Al4: optimized geometry, PBE-GGA.

Cell lengths 13.8820, 5.4365, 10.3002 Å; angles 90.00, 124.31, 90.00 degrees
Space group C2/m (No. 12)
Asymmetric unit:
Li (0.0000, 0.0000, 0.0000) x2
Tb (0.0000, 0.5000, 0.0000) x2
Tb (0.0663, 0.0000, 0.3888) x4
Tb (0.2072, 0.0000, 0.8794) x4
Tb (0.2138, 0.5000, 0.6614) x4
Al (0.0523, 0.5000, 0.7573) x4
Al (0.1750, 0.5000, 0.3357) x4

Results
Its formation energy is -64 meV/atom.



No. 6
LiTb4Al2: optimized geometry, PBE-GGA.

Cell lengths 5.1398, 5.1398, 24.6343 Å; angles 90.00, 90.00, 120.00 degrees
Space group R-3m (No. 166, hexagonal axes)
Asymmetric unit:
Li (0.0000, 0.0000, 0.0000) x3
Tb (0.0000, 0.0000, 0.1300) x6
Tb (0.0000, 0.0000, 0.3830) x6
Al (0.0000, 0.0000, 0.2557) x6

Results
Its formation energy is -141 meV/atom.



No. 7
LiTbAl2: optimized geometry, PBE-GGA.

Cell lengths 3.3651, 3.3651, 6.9857 Å; angles 90.00, 90.00, 90.00 degrees
Space group P4/mmm (No. 123)
Asymmetric unit:
Li (0.0000, 0.0000, 0.0000) x1
Tb (0.0000, 0.0000, 0.5000) x1
Al (0.5000, 0.5000, 0.2010) x2

Results
Its formation energy is -262 meV/atom. As for the energy above the lowest structure with this stoichiometry: 0 meV/atom.



No. 8
LiTbAl4: optimized geometry, PBE-GGA.

Cell lengths 5.5318, 5.5318, 8.8338 Å; angles 90.00, 90.00, 120.00 degrees
Space group P-3m1 (No. 164)
Asymmetric unit:
Li (0.3333, 0.6667, 0.4454) x2
Tb (0.3333, 0.6667, 0.0750) x2
Al (0.0000, 0.0000, 0.0000) x1
Al (0.0000, 0.0000, 0.5000) x1
Al (0.1708, 0.3416, 0.7484) x6

Results
Its formation energy is -285 meV/atom.



No. 9
LiTb2Al: optimized geometry, PBE-GGA.

Cell lengths 3.4592, 3.4592, 33.2612 Å; angles 90.00, 90.00, 120.00 degrees
Space group R-3m (No. 166, hexagonal axes)
Asymmetric unit:
Li (0.0000, 0.0000, 0.0000) x3
Tb (0.0000, 0.0000, 0.0985) x6
Al (0.0000, 0.0000, 0.5000) x3

Results
Its formation energy is 87 meV/atom.



No. 10
LiTb4Al3: optimized geometry, PBE-GGA.

Cell lengths 7.1919, 7.1991, 14.8496 Å; angles 90.00, 90.00, 90.00 degrees
Space group Fmmm (No. 69)
Asymmetric unit:
Li (0.0000, 0.0000, 0.0000) x4
Tb (0.2500, 0.2500, 0.1270) x16
Al (0.0000, 0.0000, 0.2476) x8
Al (0.0000, 0.0000, 0.5000) x4

Results
Its formation energy is -323 meV/atom.



No. 11
LiTbAl2: optimized geometry, PBE-GGA.

Cell lengths 3.1275, 3.1275, 29.9271 Å; angles 90.00, 90.00, 120.00 degrees
Space group R-3m (No. 166, hexagonal axes)
Asymmetric unit:
Li (0.0000, 0.0000, 0.0000) x3
Tb (0.0000, 0.0000, 0.5000) x3
Al (0.0000, 0.0000, 0.2557) x6

Results
Its formation energy is 26 meV/atom. As for the energy above the lowest structure with this stoichiometry: 287 meV/atom.



No. 12
LiTbAl2: optimized geometry, PBE-GGA.

Cell lengths 4.4495, 4.4495, 4.1746 Å; angles 90.00, 90.00, 90.00 degrees
Space group P4/mmm (No. 123)
Asymmetric unit:
Li (0.0000, 0.0000, 0.0000) x1
Tb (0.5000, 0.5000, 0.0000) x1
Al (0.0000, 0.5000, 0.5000) x2

Results
Its formation energy is -244 meV/atom. As for the energy above the lowest structure with this stoichiometry: 17 meV/atom.